No. 1
Sb7Pd20: optimized geometry, GGA-PBE.

a b c (Å): 7.825 7.825 7.825
angles (deg): 99.06 99.06 99.06
Element x y z (fractional)
Sb: 0.000 0.000 0.000
Sb: 0.121 0.275 0.545
Sb: 0.275 0.545 0.121
Sb: 0.455 0.879 0.725
Sb: 0.545 0.121 0.275
Sb: 0.725 0.455 0.879
Sb: 0.879 0.725 0.455
Pd: 0.001 0.343 0.227
Pd: 0.012 0.309 0.857
Pd: 0.143 0.988 0.691
Pd: 0.210 0.667 0.475
Pd: 0.227 0.001 0.343
Pd: 0.309 0.857 0.012
Pd: 0.333 0.525 0.790
Pd: 0.343 0.227 0.001
Pd: 0.377 0.377 0.377
Pd: 0.475 0.210 0.667
Pd: 0.525 0.790 0.333
Pd: 0.623 0.623 0.623
Pd: 0.657 0.773 0.999
Pd: 0.667 0.475 0.210
Pd: 0.691 0.143 0.988
Pd: 0.773 0.999 0.657
Pd: 0.790 0.333 0.525
Pd: 0.857 0.012 0.309
Pd: 0.988 0.691 0.143
Pd: 0.999 0.657 0.773

- E_tot (eV/f.u.) = -144.47

***

No. 2
Ca2HoMnSe4: optimized geometry, GGA-PBE.

a b c (Å): 7.046 4.077 7.120
angles (deg): 90.00 109.78 90.00
Element x y z (fractional)
Ca: 0.000 0.000 0.000
Ca: 0.500 0.500 0.000
Ho: 0.000 0.500 0.500
Mn: 0.500 0.000 0.500
Se: 0.251 0.000 0.740
Se: 0.264 0.500 0.270
Se: 0.736 0.500 0.730
Se: 0.749 0.000 0.260

- E_tot (eV/f.u.) = -43.87

***

No. 3
LiCd2Ni: optimized geometry, GGA-PBE.

a b c (Å): 3.143 3.217 6.536
angles (deg): 90.00 90.00 90.00
Element x y z (fractional)
Li: 0.000 0.000 0.000
Cd: 0.500 0.500 0.264
Cd: 0.500 0.500 0.736
Ni: 0.000 0.000 0.500

- energy above the most stable polymorph in this dataset (meV per atom) = 39
- formation energy from the elements (eV per atom) = -0.099

***

Number 1: magnetic moment 0.00 μB/atom. Number 2: magnetic moment 0.55 μB/atom. Number 3: magnetic moment 0.00 μB/atom.